# 1
DFT (PBEsol) results for crystalline ZrReSb2 at its relaxed geometry.

## Properties
Distance to the lowest polymorph of the same formula: 0.0 kJ/mol of atoms

abc: 3.2627 3.2627 8.2404
angles: 90.00 90.00 90.00
Last column: nearest neighbours and their distance in Å.
Element x y z (fractional)
Zr (0.0000, 0.0000, 0.0000)  4 Re 2.81, 4 Sb 3.12
Re (0.5000, 0.5000, 0.1945)  4 Sb 2.79, 4 Zr 2.81
Sb (0.0000, 0.0000, 0.3848)  4 Re 2.79
Sb (0.5000, 0.5000, 0.7454)  4 Zr 3.12, 4 Sb 3.26



# 2
DFT (PBEsol) results for crystalline ZrReSb2 at its relaxed geometry.

## Properties
Distance to the lowest polymorph of the same formula: 3.4 kJ/mol of atoms

abc: 6.5500 6.5500 6.5500
angles: 151.01 142.45 48.13
Last column: nearest neighbours and their distance in Å.
Element x y z (fractional)
Zr (0.0000, 0.0000, 0.0000)  6 Sb 2.91-2.92, 2 Re 3.13
Re (0.2230, 0.7230, 0.5000)  6 Sb 2.70-2.75
Sb (0.4022, 0.4022, 0.0000)  2 Re 2.70, 4 Zr 2.92
Sb (0.6672, 0.1672, 0.5000)  4 Re 2.75, 2 Zr 2.91



# 3
DFT (PBEsol) results for crystalline ZrReSb at its relaxed geometry.

abc: 4.4876 4.4876 4.4876
angles: 60.00 60.00 60.00
Last column: nearest neighbours and their distance in Å.
Element x y z (fractional)
Zr (0.0000, 0.0000, 0.0000)  4 Sb 2.75
Re (0.5000, 0.5000, 0.5000)  4 Sb 2.75
Sb (0.7500, 0.7500, 0.7500)  4 Re 2.75, 4 Zr 2.75



Number 1: raw formation energy -0.104 eV per atom, calculated volume 87.72 Å³/f.u.. Number 2: raw formation energy -0.069 eV per atom, calculated volume 82.70 Å³/f.u.. Number 3: raw formation energy 0.548 eV per atom, calculated volume 63.90 Å³/f.u..